Record 1
The following is a PBE calculation of an optimized crystal structure of Cd12Bi5Au3, from the Alexandria database.

```
Cd12Bi5Au3
1.0
14.661 0.000 0.000
-4.887 13.822 0.000
-4.887 -6.911 11.971
Au Bi Cd
12 20 48
Direct
0.750 0.375 0.125
0.875 0.750 0.125
0.375 0.750 0.625
0.250 0.125 0.375
0.875 0.125 0.250
0.375 0.625 0.250
0.625 0.375 0.750
0.125 0.875 0.750
0.750 0.875 0.625
0.625 0.250 0.375
0.125 0.250 0.875
0.250 0.625 0.875
0.125 0.375 0.250
0.000 0.500 0.000
0.000 0.000 0.000
0.375 0.250 0.125
0.500 0.000 0.500
0.500 0.500 0.000
0.125 0.750 0.375
0.750 0.125 0.875
0.750 0.625 0.375
0.375 0.125 0.750
0.625 0.875 0.250
0.500 0.500 0.500
0.500 0.000 0.000
0.000 0.000 0.500
0.250 0.375 0.625
0.250 0.875 0.125
0.000 0.500 0.500
0.875 0.250 0.625
0.625 0.750 0.875
0.875 0.625 0.750
0.739 0.144 0.073
0.334 0.573 0.429
0.927 0.356 0.261
0.573 0.239 0.144
0.595 0.739 0.666
0.927 0.571 0.166
0.334 0.761 0.405
0.071 0.905 0.144
0.571 0.927 0.666
0.739 0.595 0.166
0.761 0.427 0.356
0.834 0.929 0.073
0.144 0.739 0.573
0.356 0.429 0.095
0.095 0.929 0.356
0.405 0.144 0.571
0.095 0.166 0.239
0.427 0.666 0.071
0.834 0.905 0.261
0.144 0.405 0.071
0.356 0.927 0.761
0.571 0.644 0.405
0.929 0.834 0.573
0.761 0.334 0.905
0.429 0.356 0.595
0.071 0.166 0.427
0.239 0.666 0.095
0.166 0.095 0.739
0.644 0.073 0.239
0.856 0.595 0.929
0.573 0.334 0.929
0.595 0.856 0.429
0.905 0.834 0.761
0.905 0.071 0.644
0.856 0.261 0.427
0.166 0.071 0.927
0.644 0.571 0.905
0.429 0.073 0.334
0.261 0.405 0.834
0.239 0.573 0.644
0.929 0.095 0.856
0.666 0.239 0.595
0.427 0.761 0.856
0.073 0.429 0.834
0.405 0.261 0.334
0.073 0.644 0.739
0.666 0.427 0.571
0.261 0.856 0.927
```

=====

Record 2
The following is a PBE calculation of an optimized crystal structure of Cd2Bi2Au, from the Alexandria database.

```
Cd2Bi2Au
1.0
-6.990 -1.677 -3.396
3.134 -6.565 -3.208
-1.207 -2.360 3.649
Au Bi Cd
2 4 4
Direct
0.000 0.000 0.000
0.500 0.500 0.000
0.321 0.821 0.000
0.821 0.679 0.000
0.679 0.179 0.000
0.179 0.321 0.000
0.133 0.633 0.500
0.633 0.867 0.500
0.867 0.367 0.500
0.367 0.133 0.500
```

Output
* ΔE to the lowest computed polymorph: 4 meV/atom

=====

Record 3
The following is a PBE calculation of an optimized crystal structure of Cd2Bi2Au, from the Alexandria database.

```
Cd2Bi2Au
1.0
-6.412 -3.536 0.455
0.963 -2.619 -6.785
2.285 -3.909 1.833
Au Bi Cd
2 4 4
Direct
0.000 0.000 0.000
0.500 0.500 0.000
0.163 0.663 0.500
0.663 0.837 0.500
0.837 0.337 0.500
0.337 0.163 0.500
0.356 0.856 0.000
0.856 0.644 0.000
0.644 0.144 0.000
0.144 0.356 0.000
```

Output
* ΔE to the lowest computed polymorph: 0 meV/atom

=====

Record 4
The following is a PBE calculation of an optimized crystal structure of Cd2BiAu, from the Alexandria database.

```
Cd2BiAu
1.0
3.359 0.000 0.000
0.000 3.359 0.000
0.000 0.000 8.425
Au Bi Cd
1 1 2
Direct
0.500 0.500 0.000
0.500 0.500 0.500
0.000 0.000 0.794
0.000 0.000 0.206
```

=====

Uncorrected energy for the records above, in order: -1.93; -2.47; -2.47; -2.26 eV per atom
DFT formation energy for the records above, in order: 85; 104; 100; -15 meV per atom